<A>
DFT (PBE) results for a relaxed structure of GdTmZr.

Structure (POSCAR):
```
GdTmZr
1.0
-0.6843 3.1508 1.0775
-1.0513 -2.6804 1.8074
7.1983 0.0872 4.3164
Gd Zr Tm
1 1 1
Cartesian
0.1193 0.0014 0.0715 Gd
1.6071 1.2363 2.7682 Zr
3.7363 -0.6802 4.3616 Tm
```

ρ ... 8.251 g/cm³
Volume ... 28.0 Å³ per atom

<B>
DFT (PBE) results for a relaxed structure of GdTmZr.

Structure (POSCAR):
```
GdTmZr
1.0
3.3846 0.0000 0.0000
0.0000 3.3846 0.0000
-1.6923 -1.6923 7.3634
Zr Gd Tm
1 1 1
Cartesian
0.0000 0.0000 0.0418 Zr
0.0000 0.0000 5.0485 Gd
1.6923 1.6923 2.2731 Tm
```

ρ ... 8.217 g/cm³
Volume ... 28.1 Å³ per atom

Which of them is the most stable, and which is the least stable? <B> and <A>, in that order.

<A>
DFT (PBE) results for a relaxed structure of GdTmZr2.

Structure (POSCAR):
```
GdTmZr2
1.0
3.9411 0.0000 0.0000
0.0000 3.9411 0.0000
0.0000 0.0000 6.7514
Zr Gd Tm
2 1 1
Cartesian
0.0000 0.0000 4.9945 Zr
0.0000 0.0000 1.7569 Zr
1.9705 1.9705 3.3757 Gd
1.9705 1.9705 0.0000 Tm
```

ρ ... 8.054 g/cm³
Volume ... 26.2 Å³ per atom

<B>
DFT (PBE) results for a relaxed structure of GdTmZr2.

Structure (POSCAR):
```
GdTmZr2
1.0
4.7838 0.0000 0.0000
0.0000 4.6926 0.0000
0.0000 0.0000 4.6926
Gd Zr Tm
1 2 1
Cartesian
2.3919 0.0000 0.0000 Gd
0.0000 0.0000 2.3463 Zr
0.0000 2.3463 0.0000 Zr
2.3919 2.3463 2.3463 Tm
```

ρ ... 8.018 g/cm³
Volume ... 26.3 Å³ per atom

Which of them is the most stable, and which is the least stable? <B> and <A>, in that order.

<A>
DFT (PBE) results for a relaxed structure of Gd2Y.

Structure (POSCAR):
```
Gd2Y
1.0
6.5841 0.0000 0.0000
3.2921 5.7020 0.0000
3.2921 1.9007 5.3759
Gd Y
4 2
Cartesian
6.5841 3.8013 0.6720 Gd
4.9381 4.7517 3.3599 Gd
8.2302 4.7517 3.3599 Gd
6.5841 1.9007 3.3599 Gd
0.0000 0.0000 0.0000 Y
3.2921 1.9007 1.3440 Y
```

ρ ... 6.638 g/cm³
Volume ... 33.6 Å³ per atom

<B>
DFT (PBE) results for a relaxed structure of Gd2Y.

Structure (POSCAR):
```
Gd2Y
1.0
-1.9222 1.4644 -3.3763
-3.3883 -2.1908 0.9789
0.6833 4.7682 4.2319
Y Gd
1 2
Cartesian
0.0000 0.0000 0.0000 Y
-3.3121 1.1039 -0.1884 Gd
-1.3151 2.9378 2.0230 Gd
```

ρ ... 6.817 g/cm³
Volume ... 32.8 Å³ per atom

Which of them is the most stable, and which is the least stable? <B> and <A>, in that order.

<A>
DFT (PBE) results for a relaxed structure of GdY3.

Structure (POSCAR):
```
GdY3
1.0
-2.0041 -1.9931 -2.2832
-0.2342 -4.2290 3.8972
-5.2495 2.5143 2.4129
Y Gd
3 1
Cartesian
-5.4910 -1.0171 2.8164 Y
-1.8683 -1.2757 2.7535 Y
-3.6300 0.2622 0.0663 Y
-5.2472 2.5132 2.4118 Gd
```

ρ ... 5.343 g/cm³
Volume ... 32.9 Å³ per atom

<B>
DFT (PBE) results for a relaxed structure of GdY3.

Structure (POSCAR):
```
GdY3
1.0
6.1995 -0.0132 0.0000
2.0802 5.8401 0.0000
-4.1398 -2.9134 3.5787
Y Gd
3 1
Cartesian
3.0997 -0.0066 1.7894 Y
4.1398 2.9134 0.0000 Y
1.0401 2.9200 1.7894 Y
0.0000 0.0000 0.0000 Gd
```

ρ ... 5.429 g/cm³
Volume ... 32.4 Å³ per atom

<C>
DFT (PBE) results for a relaxed structure of GdY3.

Structure (POSCAR):
```
GdY3
1.0
-4.9236 2.2459 1.8431
-4.6668 -3.2785 0.3948
-2.0540 -1.4421 5.1366
Y Gd
3 1
Cartesian
-8.7333 -1.8560 5.5309 Y
-2.9111 -0.6187 1.8436 Y
0.0000 0.0000 0.0000 Y
-5.8222 -1.2373 3.6873 Gd
```

ρ ... 5.329 g/cm³
Volume ... 33.0 Å³ per atom

Which of them is the most stable, and which is the least stable? <A> and <C>, in that order.